SrFeGe PBE optimized geometry; raw total energy = -29.8 eV per cell; total moment = 0.95 μB per formula unit; energy of formation = -41 meV/atom
1.0
0.0000 4.7857 4.0147
3.8381 0.0000 4.0147
3.8381 4.7857 0.0000
Sr Fe Ge
2 2 2
direct
0.1941 0.8059 0.1941 Sr
0.8059 0.1941 0.8059 Sr
0.2493 0.5167 0.7507 Fe
0.5167 0.2493 0.4833 Fe
0.4888 0.8418 0.5112 Ge
0.8418 0.4888 0.1582 Ge


BaMgAs2 PBE optimized geometry; raw total energy = -29.9 eV per cell; total moment = 0.00 μB per formula unit; energy of formation = -528 meV/atom
1.0
5.0923 0.0000 0.0000
0.0000 5.8537 0.0000
0.0000 0.0000 6.8904
Ba Mg As
2 2 4
direct
0.0000 0.0000 0.0000 Ba
0.5000 0.5000 0.0000 Ba
0.0000 0.0000 0.5000 Mg
0.5000 0.5000 0.5000 Mg
0.0000 0.5000 0.3126 As
0.0000 0.5000 0.6874 As
0.5000 0.0000 0.3126 As
0.5000 0.0000 0.6874 As


HfZrAsBr2 PBE optimized geometry; raw total energy = -25.4 eV per cell; total moment = 1.71 μB per formula unit; energy relative to the lowest polymorph listed for this composition = 0.677 eV per formula unit; formation energy (no corrections) = 0.2193 eV/atom
1.0
5.1317 0.0000 0.0000
0.0000 5.1317 0.0000
0.0000 0.0000 5.4310
Hf Zr As Br
1 1 1 2
direct
0.0000 0.0000 0.0000 Hf
0.5000 0.5000 0.5000 Zr
0.5000 0.5000 0.0000 As
0.0000 0.5000 0.5000 Br
0.5000 0.0000 0.5000 Br